# SbTe2OsBr

A relaxed SbTe2OsBr crystal (GGA-PBE, Alexandria via LeMat-Bulk).

DOS(E_F)	9.375	states/eV/cell
space group	P4/mmm, No. 123
ΔE to the lowest computed polymorph	1448	meV/atom
size of the total moment	3.52	μB/cell

a b c (Å): 5.4777 5.4777 5.4768
angles (deg): 90.00 90.00 90.00
Site moments in Bohr magnetons follow the coordinates.
Fractional positions:
Sb  0.0000  0.0000  0.5000  -0.09
Te  0.0000  0.5000  0.0000  0.08
Te  0.5000  0.0000  0.0000  0.08
Os  0.5000  0.5000  0.5000  3.01
Br  0.0000  0.0000  0.0000  0.02

***

# SbTe2OsBr

A relaxed SbTe2OsBr crystal (GGA-PBE, Alexandria via LeMat-Bulk).

DOS(E_F)	6.953	states/eV/cell
space group	P4/mmm, No. 123
ΔE to the lowest computed polymorph	0	meV/atom
size of the total moment	0.00	μB/cell

a b c (Å): 5.2859 5.2859 5.2158
angles (deg): 90.00 90.00 90.00
Fractional positions:
Sb  0.0000  0.0000  0.5000
Te  0.0000  0.5000  0.0000
Te  0.5000  0.0000  0.0000
Os  0.0000  0.0000  0.0000
Br  0.5000  0.5000  0.5000

***

# TiSbOsBr2

A relaxed TiSbOsBr2 crystal (GGA-PBE, Alexandria via LeMat-Bulk).

final energy	-4.625	eV per atom
DOS(E_F)	5.582	states/eV/cell
space group	P4/mmm, No. 123
size of the total moment	0.00	μB/cell

a b c (Å): 4.8961 4.9635 4.8961
angles (deg): 90.00 90.00 90.00
Fractional positions:
Sb  0.5000  0.5000  0.5000
Os  0.0000  0.5000  0.0000
Br  0.0000  0.0000  0.5000
Br  0.5000  0.0000  0.0000
Ti  0.0000  0.0000  0.0000

***

# ZrSb2OsBr

A relaxed ZrSb2OsBr crystal (GGA-PBE, Alexandria via LeMat-Bulk).

final energy	-5.134	eV per atom
DOS(E_F)	6.127	states/eV/cell
space group	P4/mmm, No. 123
size of the total moment	1.68	μB/cell

a b c (Å): 5.0969 5.2042 5.0969
angles (deg): 90.00 90.00 90.00
Site moments in Bohr magnetons follow the coordinates.
Fractional positions:
Sb  0.0000  0.0000  0.5000  -0.03
Sb  0.5000  0.0000  0.0000  0.01
Os  0.0000  0.0000  0.0000  0.24
Br  0.0000  0.5000  0.0000  -0.02
Zr  0.5000  0.5000  0.5000  0.98

***

Repeat the first record exactly.
# SbTe2OsBr

A relaxed SbTe2OsBr crystal (GGA-PBE, Alexandria via LeMat-Bulk).

DOS(E_F)	9.375	states/eV/cell
space group	P4/mmm, No. 123
ΔE to the lowest computed polymorph	1448	meV/atom
size of the total moment	3.52	μB/cell

a b c (Å): 5.4777 5.4777 5.4768
angles (deg): 90.00 90.00 90.00
Site moments in Bohr magnetons follow the coordinates.
Fractional positions:
Sb  0.0000  0.0000  0.5000  -0.09
Te  0.0000  0.5000  0.0000  0.08
Te  0.5000  0.0000  0.0000  0.08
Os  0.5000  0.5000  0.5000  3.01
Br  0.0000  0.0000  0.0000  0.02

***

Repeat the second record exactly.
# SbTe2OsBr

A relaxed SbTe2OsBr crystal (GGA-PBE, Alexandria via LeMat-Bulk).

DOS(E_F)	6.953	states/eV/cell
space group	P4/mmm, No. 123
ΔE to the lowest computed polymorph	0	meV/atom
size of the total moment	0.00	μB/cell

a b c (Å): 5.2859 5.2859 5.2158
angles (deg): 90.00 90.00 90.00
Fractional positions:
Sb  0.0000  0.0000  0.5000
Te  0.0000  0.5000  0.0000
Te  0.5000  0.0000  0.0000
Os  0.0000  0.0000  0.0000
Br  0.5000  0.5000  0.5000